First-principles (GGA-PBEsol) data for a relaxed structure of Cs2RbPrCl6, as listed in Alexandria.

a b c (Å): 11.5574 11.5574 11.5574
angles (deg): 90.00 90.00 90.00
Space group Fm-3m (No. 225)
One atom of each set of equivalent atoms:
Cs1 0.2500 0.2500 0.2500
Rb1 0.0000 0.0000 0.0000
Pr1 0.0000 0.0000 0.5000
Cl1 0.0000 0.0000 0.2648

Its formation energy (no corrections) is -2.0822 eV per atom. The total energy comes out at -4.10 eV per atom. The density of states at the Fermi level comes out at 0.000 states/eV per atom.

***

First-principles (GGA-PBEsol) data for a relaxed structure of CsPtCl2, as listed in Alexandria.

a b c (Å): 5.9207 5.9207 14.5546
angles (deg): 90.00 90.00 90.00
Space group I-42d (No. 122)
One atom of each set of equivalent atoms:
Cs1 0.0000 0.0000 0.0000
Pt1 0.0000 0.0000 0.5000
Cl1 0.0931 0.2500 0.6250

Its formation energy (no corrections) is -0.5936 eV per atom. The total energy comes out at -3.57 eV per atom. The density of states at the Fermi level comes out at 0.585 states/eV per atom.

***

First-principles (GGA-PBEsol) data for a relaxed structure of Cs3PtCl, as listed in Alexandria.

a b c (Å): 6.2522 6.2522 6.2522
angles (deg): 90.00 90.00 90.00
Space group Pm-3m (No. 221)
One atom of each set of equivalent atoms:
Cs1 0.0000 0.0000 0.5000
Pt1 0.5000 0.5000 0.5000
Cl1 0.0000 0.0000 0.0000

Its formation energy (no corrections) is -0.4127 eV per atom. The total energy comes out at -2.77 eV per atom.

***

First-principles (GGA-PBEsol) data for a relaxed structure of CsPtSCl2, as listed in Alexandria.

a b c (Å): 5.1783 5.1783 4.5149
angles (deg): 90.00 90.00 90.00
Space group P4/mmm (No. 123)
One atom of each set of equivalent atoms:
Cs1 0.0000 0.0000 0.0000
Pt1 0.5000 0.5000 0.5000
S1 0.5000 0.5000 0.0000
Cl1 0.0000 0.5000 0.5000

Its formation energy (no corrections) is -0.7264 eV per atom. The total energy comes out at -3.99 eV per atom. The density of states at the Fermi level comes out at 0.536 states/eV per atom.

***

Look up the formation energy (no corrections) of the fourth one.
-0.7264 eV per atom

***

Look up the formation energy (no corrections) of the second one.
-0.5936 eV per atom

***

formation energy (no corrections) of number 1 (Cs2RbPrCl6)?
-2.0822 eV per atom